(1)
# Y3Cd2Hg2 | Alexandria via LeMat-Bulk | PBE-GGA | optimized geometry
data_Y3Cd2Hg2
_symmetry_space_group_name_H-M 'P 1'
_symmetry_Int_Tables_number 1
_cell_length_a 5.221
_cell_length_b 5.232
_cell_length_c 9.138
_cell_angle_alpha 82.92
_cell_angle_beta 113.46
_cell_angle_gamma 121.06
loop_
_symmetry_equiv_pos_as_xyz
'x,y,z'
loop_
_atom_site_label
_atom_site_type_symbol
_atom_site_fract_x
_atom_site_fract_y
_atom_site_fract_z
_atom_site_occupancy
Hg1 Hg 0.293 0.065 0.359 1
Y1 Y 0.000 0.000 0.000 1
Hg2 Hg 0.707 0.935 0.641 1
Y2 Y 0.428 0.279 0.706 1
Y3 Y 0.572 0.721 0.294 1
Cd1 Cd 0.226 0.640 0.865 1
Cd2 Cd 0.774 0.360 0.135 1
# **DOS at the Fermi energy**: 6.057 states/eV per cell
# **Formation energy**: -0.29 eV per atom
# **E**: -3.404 eV/atom
# **Space group**: No. 2


(2)
# YTmTh3 | Alexandria via LeMat-Bulk | PBE-GGA | optimized geometry
data_YTmTh3
_symmetry_space_group_name_H-M 'P 1'
_symmetry_Int_Tables_number 1
_cell_length_a 7.346
_cell_length_b 7.346
_cell_length_c 7.346
_cell_angle_alpha 70.97
_cell_angle_beta 70.97
_cell_angle_gamma 70.97
loop_
_symmetry_equiv_pos_as_xyz
'x,y,z'
loop_
_atom_site_label
_atom_site_type_symbol
_atom_site_fract_x
_atom_site_fract_y
_atom_site_fract_z
_atom_site_occupancy
Tm1 Tm 0.906 0.906 0.906 1
Th1 Th 0.234 0.026 0.515 1
Th2 Th 0.974 0.485 0.766 1
Tm2 Tm 0.094 0.094 0.094 1
Th3 Th 0.026 0.515 0.234 1
Th4 Th 0.515 0.234 0.026 1
Y1 Y 0.410 0.410 0.410 1
Th5 Th 0.766 0.974 0.485 1
Y2 Y 0.590 0.590 0.590 1
Th6 Th 0.485 0.766 0.974 1
# **DOS at the Fermi energy**: 17.345 states/eV per cell
# **Distance to the lowest polymorph of the same formula**: 230.7 meV/atom
# **Formation energy**: 0.58 eV per atom
# **E**: -6.055 eV/atom
# **Space group**: No. 148


(3)
# Te4IrAu | Alexandria via LeMat-Bulk | PBE-GGA | optimized geometry
data_Te4IrAu
_symmetry_space_group_name_H-M 'P 1'
_symmetry_Int_Tables_number 1
_cell_length_a 4.091
_cell_length_b 5.338
_cell_length_c 7.592
_cell_angle_alpha 90.14
_cell_angle_beta 90.00
_cell_angle_gamma 90.00
loop_
_symmetry_equiv_pos_as_xyz
'x,y,z'
loop_
_atom_site_label
_atom_site_type_symbol
_atom_site_fract_x
_atom_site_fract_y
_atom_site_fract_z
_atom_site_occupancy
Te1 Te 0.500 0.283 0.883 1
Ir1 Ir 0.000 0.000 0.000 1
Au1 Au 0.500 0.000 0.500 1
Te2 Te 0.500 0.717 0.117 1
Te3 Te 0.000 0.219 0.316 1
Te4 Te 0.000 0.781 0.684 1
# **E_form (uncorrected)**: -128 kJ/mol of formula units
# **DOS at the Fermi energy**: 0.822 states/eV per cell
# **Distance to the lowest polymorph of the same formula**: 0.0 meV/atom
# **E**: -4.338 eV/atom
# **Space group**: No. 10


(4)
# Co2Pd2Pt7 | Alexandria via LeMat-Bulk | PBE-GGA | optimized geometry
data_Co2Pd2Pt7
_symmetry_space_group_name_H-M 'P 1'
_symmetry_Int_Tables_number 1
_cell_length_a 5.122
_cell_length_b 5.122
_cell_length_c 6.530
_cell_angle_alpha 97.60
_cell_angle_beta 97.60
_cell_angle_gamma 92.18
loop_
_symmetry_equiv_pos_as_xyz
'x,y,z'
loop_
_atom_site_label
_atom_site_type_symbol
_atom_site_fract_x
_atom_site_fract_y
_atom_site_fract_z
_atom_site_occupancy
Pt1 Pt 0.547 0.924 0.706 1
Pt2 Pt 0.924 0.547 0.706 1
Pt3 Pt 0.161 0.161 0.924 1
Pd1 Pd 0.593 0.593 0.343 1
Pt4 Pt 0.453 0.076 0.294 1
Pt5 Pt 0.839 0.839 0.076 1
Pd2 Pd 0.407 0.407 0.657 1
Pt6 Pt 0.076 0.453 0.294 1
Co1 Co 0.317 0.683 0.000 1
Pt7 Pt 0.000 0.000 0.500 1
Co2 Co 0.683 0.317 0.000 1
# **DOS at the Fermi energy**: 15.890 states/eV per cell
# **Formation energy**: 0.09 eV per atom
# **E**: -5.987 eV/atom
# **Space group**: No. 12


Q: Which of these has the highest DOS at the Fermi energy?
A: YTmTh3